P | ! MgAl3As | Alexandria via LeMat-Bulk | PBE-GGA | relaxed; values from VASP
! Crystal system: cubic
! M_tot (μB per atom): 0.0000
&SYSTEM
  ibrav = 0, nat = 5, ntyp = 3
/
ATOMIC_SPECIES
Mg 24.30 Mg.upf
Al 26.98 Al.upf
As 74.92 As.upf
CELL_PARAMETERS angstrom
5.0235 0.0000 0.0000
0.0000 5.0235 0.0000
0.0000 0.0000 5.0235
ATOMIC_POSITIONS angstrom
Mg 0.0000 0.0000 0.0000
Al 0.0000 0.0000 2.5117
Al 0.0000 2.5117 0.0000
Al 2.5117 0.0000 0.0000
As 2.5117 2.5117 2.5117

Q | ! MgAl3As | Alexandria via LeMat-Bulk | PBE-GGA | relaxed; values from VASP
! Crystal system: cubic
! M_tot (μB per atom): 0.0000
&SYSTEM
  ibrav = 0, nat = 5, ntyp = 3
/
ATOMIC_SPECIES
Mg 24.30 Mg.upf
Al 26.98 Al.upf
As 74.92 As.upf
CELL_PARAMETERS angstrom
4.9622 0.0000 0.0000
0.0000 4.9622 0.0000
0.0000 0.0000 4.9622
ATOMIC_POSITIONS angstrom
Mg 0.0000 0.0000 0.0000
Al 0.0000 2.4811 2.4811
Al 2.4811 0.0000 2.4811
Al 2.4811 2.4811 0.0000
As 2.4811 2.4811 2.4811

Q: What are the energies relative to the best structure? A: P 0.413; Q 0.000, in eV/atom.